[1]
Here is a relaxed TlCuGe crystal from the Alexandria database. Energies are from PBE-GGA.

abc: 4.0419 4.9328 6.6146
angles: 90.00 95.21 90.00
Closest atoms and distances in Å follow each position.
Positions (direct):
Tl  0.0000  0.0000  0.0000  2 Cu 3.00, 3 Ge 3.20-3.35
Tl  0.4472  0.5000  0.8053  2 Cu 3.00, 1 Ge 3.20
Cu  0.2251  0.2500  0.4024  2 Cu 2.47, 4 Ge 2.51
Cu  0.2251  0.7500  0.4024  2 Cu 2.47, 4 Ge 2.51
Ge  0.7058  0.5000  0.2769  4 Cu 2.51
Ge  0.7444  0.0000  0.5284  4 Cu 2.51

Values from the calculation:
The magnetization is 0.00 μB/cell. Its formation energy is 144.2 meV/atom. As for the calculated volume: 66 Å³/f.u. The calculation puts the calculated total energy at -21.295 eV/cell.

***

[2]
Here is a relaxed Cd2NiAsS crystal from the Alexandria database. Energies are from PBE-GGA.

abc: 4.9424 4.9424 4.9211
angles: 90.00 90.00 90.00
Closest atoms and distances in Å follow each position.
Positions (direct):
Cd  0.0000  0.5000  0.0000  2 S 2.47
Cd  0.5000  0.0000  0.0000  2 S 2.47
Ni  0.0000  0.0000  0.5000  8 Cd 3.49, 4 As 3.49
As  0.5000  0.5000  0.5000  2 S 2.46
S  0.5000  0.5000  0.0000  2 As 2.46, 4 Cd 2.47

Values from the calculation:
The magnetization is 0.00 μB/cell. As for the calculated volume: 120 Å³/f.u. The calculation puts the calculated total energy at -12.115 eV/cell.

***

[3]
Here is a relaxed Y4MgBe crystal from the Alexandria database. Energies are from PBE-GGA.

abc: 6.2857 6.2857 6.2857
angles: 60.00 60.00 60.00
Closest atoms and distances in Å follow each position.
Positions (direct):
Y  0.1247  0.1247  0.1247  6 Y 3.13-3.15
Y  0.1247  0.1247  0.6260  6 Y 3.13-3.15
Y  0.1247  0.6260  0.1247  6 Y 3.13-3.15
Y  0.6260  0.1247  0.1247  6 Y 3.13-3.15
Mg  0.5000  0.5000  0.5000  12 Y 3.69, 4 Be 3.85
Be  0.7500  0.7500  0.7500  12 Y 3.68, 4 Mg 3.85

Values from the calculation:
The magnetization is 0.00 μB/cell. Its formation energy is 663.9 meV/atom. As for the calculated volume: 176 Å³/f.u. The calculation puts the calculated total energy at -27.194 eV/cell.

***

[4]
Here is a relaxed CrCu2As crystal from the Alexandria database. Energies are from PBE-GGA.

abc: 5.5272 5.5272 5.5272
angles: 101.15 101.15 127.82
Closest atoms and distances in Å follow each position.
Positions (direct):
Cr  0.0000  0.0000  0.0000  2 As 2.43, 4 Cu 2.67
Cr  0.7500  0.2500  0.5000  2 As 2.43, 4 Cu 2.67
Cu  0.1485  0.6250  0.0235  2 As 2.44, 2 Cu 2.45, 2 Cr 2.67
Cu  0.3750  0.3985  0.5235  2 As 2.44, 2 Cu 2.45, 2 Cr 2.67
Cu  0.6015  0.1250  0.9765  2 As 2.44, 2 Cu 2.45, 2 Cr 2.67
Cu  0.8750  0.8515  0.4765  2 As 2.44, 2 Cu 2.45, 2 Cr 2.67
As  0.2500  0.7500  0.5000  2 Cr 2.43, 4 Cu 2.44
As  0.5000  0.5000  0.0000  2 Cr 2.43, 4 Cu 2.44

Values from the calculation:
The magnetization is 5.80 μB/cell. Its formation energy is 343.7 meV/atom. As for the calculated volume: 60 Å³/f.u. The calculation puts the calculated total energy at -42.181 eV/cell.

***

[5]
Here is a relaxed FeBiPPt2 crystal from the Alexandria database. Energies are from PBE-GGA.

abc: 4.6531 4.6531 4.9877
angles: 90.00 90.00 90.00
Closest atoms and distances in Å follow each position.
Positions (direct):
Fe  0.0000  0.0000  0.0000  4 Pt 2.33, 2 Bi 2.49
Bi  0.0000  0.0000  0.5000  2 Fe 2.49
P  0.5000  0.5000  0.5000  4 Bi 3.29, 8 Pt 3.41
Pt  0.0000  0.5000  0.0000  2 Fe 2.33
Pt  0.5000  0.0000  0.0000  2 Fe 2.33

Values from the calculation:
The magnetization is 3.42 μB/cell. Its formation energy is 976.7 meV/atom. As for the calculated volume: 108 Å³/f.u. The calculation puts the calculated total energy at -24.951 eV/cell.

***

[6]
Here is a relaxed LiPmZr2N4 crystal from the Alexandria database. Energies are from PBE-GGA.

abc: 5.6682 5.6682 11.1088
angles: 90.00 90.00 146.05
Closest atoms and distances in Å follow each position.
Positions (direct):
Li  0.1580  0.8420  0.7500  4 N 1.91-1.98
Li  0.8420  0.1580  0.2500  4 N 1.91-1.98
Pm  0.1062  0.8938  0.2500  6 N 2.42-2.66
Pm  0.8938  0.1062  0.7500  6 N 2.42-2.66
Zr  0.3663  0.6337  0.0577  6 N 2.19-2.29
Zr  0.3663  0.6337  0.4423  6 N 2.19-2.29
Zr  0.6337  0.3663  0.5577  6 N 2.19-2.29
Zr  0.6337  0.3663  0.9423  6 N 2.19-2.29
N  0.0000  0.0000  0.0000  4 Zr 2.29
N  0.0000  0.0000  0.5000  4 Zr 2.29
N  0.2631  0.7369  0.6120  1 Li 1.91
N  0.2631  0.7369  0.8880  1 Li 1.91
N  0.4428  0.5572  0.2500  2 Li 1.98
N  0.5572  0.4428  0.7500  2 Li 1.98
N  0.7369  0.2631  0.1120  1 Li 1.91
N  0.7369  0.2631  0.3880  1 Li 1.91

Values from the calculation:
The magnetization is 0.00 μB/cell. As for the calculated volume: 100 Å³/f.u. The calculation puts the calculated total energy at -136.853 eV/cell.

***

- Which of these has the highest calculated total energy?
  Cd2NiAsS